# 1
This record from Alexandria via LeMat-Bulk describes crystalline La3Bi2Se at its relaxed geometry. The functional is PBE.

Unit cell a=9.1525 b=12.9624 c=27.4845 alpha=90.00 beta=90.00 gamma=90.00
Closest atoms and distances in Å follow each position.
Space group Fddd (No. 70, origin choice 2)
Inequivalent atoms, fractional coordinates:
La  0.1122  0.3750  0.3750 (multiplicity 16)  2 Se 3.16, 4 Bi 3.24-3.29
La  0.1194  0.3702  0.2106 (multiplicity 32)  2 Se 3.16-3.18, 4 Bi 3.26-3.31
Bi  0.1250  0.1250  0.3764 (multiplicity 16)  6 La 3.24-3.29
Bi  0.1250  0.1250  0.5434 (multiplicity 16)  6 La 3.26-3.31
Se  0.1250  0.1250  0.0416 (multiplicity 16)  6 La 3.16-3.18

Values from the calculation:
The value obtained for the size of the total moment is 0.00 μB per cell. As for the total energy: -5.695 eV per atom. The value obtained for the formation energy from raw total energies is -1.3569 eV/atom.

# 2
This record from Alexandria via LeMat-Bulk describes crystalline La5BiSe4 at its relaxed geometry. The functional is PBE.

Unit cell a=4.3914 b=6.2360 c=21.9820 alpha=90.00 beta=90.00 gamma=90.00
Closest atoms and distances in Å follow each position.
Space group Immm (No. 71)
Inequivalent atoms, fractional coordinates:
La  0.0000  0.0000  0.0000 (multiplicity 2)  4 Se 3.12, 2 Bi 3.12
La  0.0000  0.0000  0.1992 (multiplicity 4)  6 Se 3.06-3.12
La  0.0000  0.0000  0.3917 (multiplicity 4)  4 Se 3.04-3.12, 2 Bi 3.24
Bi  0.0000  0.5000  0.0000 (multiplicity 2)  6 La 3.12-3.24
Se  0.0000  0.5000  0.2039 (multiplicity 4)  6 La 3.04-3.12
Se  0.0000  0.5000  0.3994 (multiplicity 4)  6 La 3.09-3.12

Values from the calculation:
The value obtained for the size of the total moment is 0.00 μB per cell. As for the total energy: -6.031 eV per atom. The value obtained for the formation energy from raw total energies is -1.7849 eV/atom.

# 3
This record from Alexandria via LeMat-Bulk describes crystalline LaBiSe2 at its relaxed geometry. The functional is PBE.

Unit cell a=5.5288 b=5.5288 c=17.9873 alpha=90.00 beta=90.00 gamma=90.00
Closest atoms and distances in Å follow each position.
Space group I-42d (No. 122)
Inequivalent atoms, fractional coordinates:
La  0.0000  0.0000  0.0000 (multiplicity 4)  4 Se 2.97
Bi  0.0000  0.0000  0.5000 (multiplicity 4)  4 Se 2.99
Se  0.2457  0.2500  0.1250 (multiplicity 8)  2 La 2.97, 2 Bi 2.99

Values from the calculation:
The value obtained for the size of the total moment is 0.00 μB per cell. As for the total energy: -4.756 eV per atom. The value obtained for the formation energy from raw total energies is -0.8118 eV/atom.

# 4
This record from Alexandria via LeMat-Bulk describes crystalline La2BiSe4 at its relaxed geometry. The functional is PBE.

Unit cell a=14.7951 b=4.6186 c=7.6598 alpha=90.00 beta=118.83 gamma=90.00
Closest atoms and distances in Å follow each position.
Space group C2/m (No. 12)
Inequivalent atoms, fractional coordinates:
La  0.2229  0.0000  0.2145 (multiplicity 4)  6 Se 3.00-3.15
Bi  0.0000  0.5000  0.5000 (multiplicity 2)  6 Se 2.95-3.08
Se  0.1214  0.5000  0.9386 (multiplicity 4)  1 Bi 2.95, 3 La 3.00-3.05
Se  0.1389  0.0000  0.5037 (multiplicity 4)  3 La 3.02-3.15, 2 Bi 3.08

Values from the calculation:
The value obtained for the size of the total moment is 0.00 μB per cell. As for the total energy: -5.333 eV per atom. The value obtained for the formation energy from raw total energies is -1.3797 eV/atom.

# 5
This record from Alexandria via LeMat-Bulk describes crystalline LaBiSe2 at its relaxed geometry. The functional is PBE.

Unit cell a=4.2795 b=4.2795 c=27.4034 alpha=90.00 beta=90.00 gamma=120.00
Closest atoms and distances in Å follow each position.
Space group R-3m (No. 166, hexagonal axes)
Inequivalent atoms, fractional coordinates:
La  0.0000  0.0000  0.0000 (multiplicity 3)  6 Se 2.98
Bi  0.0000  0.0000  0.5000 (multiplicity 3)  2 Se 2.90
Se  0.0000  0.0000  0.3943 (multiplicity 6)  1 Bi 2.90, 3 La 2.98

Values from the calculation:
The value obtained for the size of the total moment is 0.00 μB per cell. As for the total energy: -5.035 eV per atom. The value obtained for the formation energy from raw total energies is -1.0910 eV/atom.

# 6
This record from Alexandria via LeMat-Bulk describes crystalline La3BiSe2 at its relaxed geometry. The functional is PBE.

Unit cell a=4.6858 b=14.8299 c=11.1117 alpha=90.00 beta=90.00 gamma=90.00
Closest atoms and distances in Å follow each position.
Space group Cmcm (No. 63)
Inequivalent atoms, fractional coordinates:
La  0.0000  0.0931  0.2500 (multiplicity 4)  4 Se 2.86-3.10
La  0.0000  0.3563  0.0550 (multiplicity 8)  1 Se 2.87
Bi  0.0000  0.2435  0.7500 (multiplicity 4)  6 La 3.37-3.52
Se  0.0000  0.0000  0.0000 (multiplicity 4)  6 La 3.10-3.23
Se  0.0000  0.4828  0.2500 (multiplicity 4)  4 La 2.86-2.87

Values from the calculation:
The value obtained for the size of the total moment is 6.08 μB per cell. As for the total energy: -5.683 eV per atom. The value obtained for the formation energy from raw total energies is -1.4113 eV/atom.

# 7
This record from Alexandria via LeMat-Bulk describes crystalline La6BiSe5 at its relaxed geometry. The functional is PBE.

Unit cell a=7.5845 b=13.1430 c=7.6051 alpha=90.00 beta=109.49 gamma=90.00
Closest atoms and distances in Å follow each position.
Space group C2/m (No. 12)
Inequivalent atoms, fractional coordinates:
La  0.2398  0.0000  0.2572 (multiplicity 4)  5 Se 2.99-3.10, 1 Bi 3.21
La  0.2404  0.1727  0.7392 (multiplicity 8)  5 Se 3.03-3.11, 1 Bi 3.22
Bi  0.0000  0.5000  0.0000 (multiplicity 2)  6 La 3.21-3.22
Se  0.0000  0.0000  0.5000 (multiplicity 2)  6 La 2.99-3.09
Se  0.0000  0.1676  0.0000 (multiplicity 4)  6 La 3.10-3.11
Se  0.0000  0.3391  0.5000 (multiplicity 4)  6 La 3.03-3.10

Values from the calculation:
The value obtained for the size of the total moment is 0.00 μB per cell. As for the total energy: -6.065 eV per atom. The value obtained for the formation energy from raw total energies is -1.8259 eV/atom.

# 8
This record from Alexandria via LeMat-Bulk describes crystalline LaBi2Se at its relaxed geometry. The functional is PBE.

Unit cell a=4.4356 b=4.4356 c=26.4150 alpha=90.00 beta=90.00 gamma=90.00
Closest atoms and distances in Å follow each position.
Space group I-42d (No. 122)
Inequivalent atoms, fractional coordinates:
La  0.0000  0.0000  0.0000 (multiplicity 4)  4 Se 3.14
Bi  0.2307  0.2500  0.1250 (multiplicity 8)  4 Bi 3.02-3.26
Se  0.0000  0.0000  0.5000 (multiplicity 4)  4 La 3.14

Values from the calculation:
The value obtained for the size of the total moment is 0.00 μB per cell. As for the total energy: -4.812 eV per atom. The value obtained for the formation energy from raw total energies is -0.7686 eV/atom.

Question: formation energy from raw total energies of number 6 (La3BiSe2)?
Answer: -1.4113 eV/atom